Entry from Alexandria: crystalline Tc5Te at its relaxed geometry (PBE).

```
data_Tc5Te
_cell_length_a 6.2748
_cell_length_b 6.2748
_cell_length_c 3.9836
_cell_angle_alpha 90.00
_cell_angle_beta 90.00
_cell_angle_gamma 143.27
_symmetry_space_group_name_H-M 'P 1'
_symmetry_Int_Tables_number 1
loop_
_symmetry_equiv_pos_as_xyz
'x,y,z'
loop_
_atom_site_label
_atom_site_type_symbol
_atom_site_fract_x
_atom_site_fract_y
_atom_site_fract_z
Tc1 Tc 0.3250 0.6750 0.5000
Tc2 Tc 0.1797 0.8203 0.0000
Tc3 Tc 0.0000 0.0000 0.5000
Tc4 Tc 0.8203 0.1797 0.0000
Tc5 Tc 0.6750 0.3250 0.5000
Te1 Te 0.5000 0.5000 0.0000
```

Computed properties:
As for the crystal system: orthorhombic. The relative energy among the computed polymorphs comes out at 0.13 eV/f.u. The calculation puts the formation energy without anion corrections at 0.23 eV/atom. The value obtained for the density of states at the Fermi level is 6.6 states/eV per cell.